[1]
# GGA-PBE Ba3Na9Li2, optimized geometry
data_Ba3Na9Li2
_cell_length_a 5.911
_cell_length_b 12.332
_cell_length_c 15.806
_cell_angle_alpha 90.00
_cell_angle_beta 90.00
_cell_angle_gamma 90.00
_symmetry_space_group_name_H-M 'I m m m'
_symmetry_Int_Tables_number 71
_symmetry_space_group_name_Hall '-I 2 2'
loop_
_atom_site_label
_atom_site_fract_x
_atom_site_fract_y
_atom_site_fract_z
Ba1 0.000 0.000 0.000
Ba2 0.000 0.000 0.289
Na1 0.000 0.286 0.132
Na2 0.000 0.354 0.358
Na3 0.000 0.500 0.000
Li1 0.000 0.145 0.500
# calculated formation energy: 0.029 eV per atom
# size of the total moment: 0.0 μB per formula unit
# final energy: -21.06 eV per formula unit
# Fermi-level density of states: 18.4 states/eV/cell

[2]
# GGA-PBE Ce3SiOs, optimized geometry
data_Ce3SiOs
_cell_length_a 6.366
_cell_length_b 9.007
_cell_length_c 15.911
_cell_angle_alpha 90.00
_cell_angle_beta 90.00
_cell_angle_gamma 90.00
_symmetry_space_group_name_H-M 'F m m m'
_symmetry_Int_Tables_number 69
_symmetry_space_group_name_Hall '-F 2 2'
loop_
_atom_site_label
_atom_site_fract_x
_atom_site_fract_y
_atom_site_fract_z
Ce1 0.000 0.000 0.193
Ce2 0.000 0.203 0.409
Si1 0.187 0.000 0.000
Os1 0.250 0.250 0.250
# size of the total moment: 1.7 μB per formula unit
# final energy: -36.40 eV per formula unit
# energy relative to the elements, uncorrected: -37.6 kJ per mole of atoms
# Fermi-level density of states: 86.3 states/eV/cell

[3]
# GGA-PBE LaIn2Sb, optimized geometry
data_LaIn2Sb
_cell_length_a 3.346
_cell_length_b 5.417
_cell_length_c 6.273
_cell_angle_alpha 90.00
_cell_angle_beta 90.01
_cell_angle_gamma 90.00
_symmetry_space_group_name_H-M 'P 1 m 1'
_symmetry_Int_Tables_number 6
_symmetry_space_group_name_Hall 'P -2y'
loop_
_atom_site_label
_atom_site_fract_x
_atom_site_fract_y
_atom_site_fract_z
La1 0.000 0.000 0.000
In1 0.496 0.500 0.727
In2 0.505 0.000 0.500
Sb1 0.500 0.500 0.209
# size of the total moment: 0.0 μB per formula unit
# final energy: -16.20 eV per formula unit
# energy relative to the elements, uncorrected: -40.4 kJ per mole of atoms
# Fermi-level density of states: 2.0 states/eV/cell